# 1
First-principles (PBE-GGA) data for a relaxed structure of ZnNiRh2C, as listed in Alexandria via LeMat-Bulk.

Properties
**Energy of formation from the pure elements**: -0.10 eV/atom
**Energy**: -6.3004 eV per atom
**D(E_F)**: 0.75 states/eV/cell
**Space group**: No. 123
**Total magnetization**: 0.000 Bohr magnetons per cell

Lattice parameters (Å, degrees): 4.055 4.055 3.758 90.00 90.00 90.00
Atoms (fractional coordinates):
Rh 0.500 0.000 0.000
Rh 0.000 0.500 0.000
C 0.000 0.000 0.000
Ni 0.000 0.000 0.500
Zn 0.500 0.500 0.500


# 2
First-principles (PBE-GGA) data for a relaxed structure of Zr2NiRhC, as listed in Alexandria via LeMat-Bulk.

Properties
**Energy of formation from the pure elements**: -0.49 eV/atom
**Energy**: -8.3823 eV per atom
**D(E_F)**: 2.49 states/eV/cell
**Space group**: No. 123
**Total magnetization**: 0.000 Bohr magnetons per cell

Lattice parameters (Å, degrees): 4.569 4.569 3.681 90.00 90.00 90.00
Atoms (fractional coordinates):
C 0.000 0.000 0.000
Zr 0.000 0.500 0.000
Zr 0.500 0.000 0.000
Ni 0.000 0.000 0.500
Rh 0.500 0.500 0.500